Entry from OQMD via LeMat-Bulk: crystalline Be2CdHg at its relaxed geometry (GGA-PBE).

abc: 6.350 6.350 6.350
angles: 90.00 90.00 90.00
Sites, in units of the cell vectors:
Be (0.000, 0.000, 0.000)
Be (0.000, 0.500, 0.500)
Be (0.250, 0.250, 0.250)
Be (0.250, 0.750, 0.750)
Be (0.500, 0.000, 0.500)
Be (0.500, 0.500, 0.000)
Be (0.750, 0.250, 0.750)
Be (0.750, 0.750, 0.250)
Cd (0.000, 0.000, 0.500)
Cd (0.000, 0.500, 0.000)
Cd (0.500, 0.000, 0.000)
Cd (0.500, 0.500, 0.500)
Hg (0.250, 0.250, 0.750)
Hg (0.250, 0.750, 0.250)
Hg (0.750, 0.250, 0.250)
Hg (0.750, 0.750, 0.750)

uncorrected energy: -0.10803 Ry/atom